# 1
The following is a DFT calculation (GGA-PBE) of NaLa3Os after structural relaxation.

```
data_NaLa3Os
_chemical_formula_sum 'Na2 La6 Os2'
_symmetry_space_group_name_H-M 'P 1'
_symmetry_Int_Tables_number 1
_cell_length_a 8.100
_cell_length_b 6.277
_cell_length_c 6.797
_cell_angle_alpha 90.00
_cell_angle_beta 89.98
_cell_angle_gamma 89.96
loop_
_symmetry_equiv_pos_as_xyz
'x,y,z'
loop_
_atom_site_label
_atom_site_type_symbol
_atom_site_fract_x
_atom_site_fract_y
_atom_site_fract_z
Na1 Na 0.592 0.161 0.346
Na2 Na 0.593 0.661 0.669
Os1 Os 0.093 0.911 0.007
Os2 Os 0.093 0.411 0.007
La1 La 0.834 0.161 0.844
La2 La 0.093 0.661 0.658
La3 La 0.352 0.161 0.844
La4 La 0.834 0.661 0.171
La5 La 0.352 0.661 0.171
La6 La 0.093 0.161 0.357
```

Results
Its total magnetization is 0.00 μB per cell. The value obtained for the mass density is 6.053 g/cm3. The calculation puts the energy of formation from the pure elements at -0.09 eV per atom.



# 2
The following is a DFT calculation (GGA-PBE) of YTmNp after structural relaxation.

```
data_YTmNp
_chemical_formula_sum 'Y2 Tm2 Np2'
_symmetry_space_group_name_H-M 'P 1'
_symmetry_Int_Tables_number 1
_cell_length_a 3.550
_cell_length_b 5.818
_cell_length_c 8.522
_cell_angle_alpha 100.79
_cell_angle_beta 102.02
_cell_angle_gamma 90.00
loop_
_symmetry_equiv_pos_as_xyz
'x,y,z'
loop_
_atom_site_label
_atom_site_type_symbol
_atom_site_fract_x
_atom_site_fract_y
_atom_site_fract_z
Np1 Np 0.762 0.140 0.524
Np2 Np 0.238 0.860 0.476
Tm1 Tm 0.567 0.794 0.134
Tm2 Tm 0.433 0.206 0.866
Y1 Y 0.879 0.678 0.759
Y2 Y 0.121 0.322 0.241
```

Results
Its total magnetization is 2.57 μB per cell. The value obtained for the mass density is 9.727 g/cm3. The calculation puts the energy of formation from the pure elements at 0.23 eV per atom.



# 3
The following is a DFT calculation (GGA-PBE) of LaTlAu2 after structural relaxation.

```
data_LaTlAu2
_chemical_formula_sum 'La1 Tl1 Au2'
_symmetry_space_group_name_H-M 'P 1'
_symmetry_Int_Tables_number 1
_cell_length_a 5.675
_cell_length_b 5.675
_cell_length_c 5.675
_cell_angle_alpha 51.54
_cell_angle_beta 51.54
_cell_angle_gamma 51.54
loop_
_symmetry_equiv_pos_as_xyz
'x,y,z'
loop_
_atom_site_label
_atom_site_type_symbol
_atom_site_fract_x
_atom_site_fract_y
_atom_site_fract_z
Au1 Au 0.948 0.948 0.948
Au2 Au 0.302 0.302 0.302
La1 La 0.518 0.518 0.518
Tl1 Tl 0.732 0.732 0.732
```

Results
Its total magnetization is 0.00 μB per cell. The value obtained for the mass density is 11.829 g/cm3. The calculation puts the energy of formation from the pure elements at -0.48 eV per atom.



# 4
The following is a DFT calculation (GGA-PBE) of Pr9NdSn2 after structural relaxation.

```
data_Pr9NdSn2
_chemical_formula_sum 'Pr9 Nd1 Sn2'
_symmetry_space_group_name_H-M 'P 1'
_symmetry_Int_Tables_number 1
_cell_length_a 5.031
_cell_length_b 5.031
_cell_length_c 15.542
_cell_angle_alpha 90.00
_cell_angle_beta 90.00
_cell_angle_gamma 90.00
loop_
_symmetry_equiv_pos_as_xyz
'x,y,z'
loop_
_atom_site_label
_atom_site_type_symbol
_atom_site_fract_x
_atom_site_fract_y
_atom_site_fract_z
Pr1 Pr 0.500 0.500 0.000
Pr2 Pr 0.500 0.500 0.341
Pr3 Pr 0.500 0.500 0.659
Pr4 Pr 0.500 0.000 0.178
Pr5 Pr 0.500 0.000 0.500
Pr6 Pr 0.500 0.000 0.822
Pr7 Pr 0.000 0.500 0.178
Pr8 Pr 0.000 0.500 0.500
Pr9 Pr 0.000 0.500 0.822
Nd1 Nd 0.000 0.000 0.000
Sn1 Sn 0.000 0.000 0.338
Sn2 Sn 0.000 0.000 0.662
```

Results
Its total magnetization is 0.00 μB per cell. The value obtained for the mass density is 6.963 g/cm3. The calculation puts the energy of formation from the pure elements at -0.28 eV per atom.



# 5
The following is a DFT calculation (GGA-PBE) of Ac2HoAs2Se2 after structural relaxation.

```
data_Ac2HoAs2Se2
_chemical_formula_sum 'Ac2 Ho1 As2 Se2'
_symmetry_space_group_name_H-M 'P 1'
_symmetry_Int_Tables_number 1
_cell_length_a 5.259
_cell_length_b 5.259
_cell_length_c 8.805
_cell_angle_alpha 107.38
_cell_angle_beta 107.38
_cell_angle_gamma 90.00
loop_
_symmetry_equiv_pos_as_xyz
'x,y,z'
loop_
_atom_site_label
_atom_site_type_symbol
_atom_site_fract_x
_atom_site_fract_y
_atom_site_fract_z
Ac1 Ac 0.368 0.368 0.737
Ac2 Ac 0.632 0.632 0.263
Ho1 Ho 0.000 0.000 0.000
As1 As 0.000 0.500 0.000
As2 As 0.500 0.000 0.000
Se1 Se 0.180 0.180 0.360
Se2 Se 0.820 0.820 0.640
```

Results
Its total magnetization is 0.00 μB per cell. The value obtained for the mass density is 6.972 g/cm3. As for the formation energy without anion corrections: -1.360 eV per atom.



# 6
The following is a DFT calculation (GGA-PBE) of EuDyBi after structural relaxation.

```
data_EuDyBi
_chemical_formula_sum 'Eu1 Dy1 Bi1'
_symmetry_space_group_name_H-M 'P 1'
_symmetry_Int_Tables_number 1
_cell_length_a 4.164
_cell_length_b 4.164
_cell_length_c 6.257
_cell_angle_alpha 109.44
_cell_angle_beta 109.44
_cell_angle_gamma 90.00
loop_
_symmetry_equiv_pos_as_xyz
'x,y,z'
loop_
_atom_site_label
_atom_site_type_symbol
_atom_site_fract_x
_atom_site_fract_y
_atom_site_fract_z
Eu1 Eu 0.942 0.942 0.884
Bi1 Bi 0.270 0.270 0.540
Dy1 Dy 0.638 0.638 0.276
```

Results
Its total magnetization is 8.90 μB per cell. The value obtained for the mass density is 9.080 g/cm3. The calculation puts the energy of formation from the pure elements at -0.49 eV per atom.



# 7
The following is a DFT calculation (GGA-PBE) of Na2CuTc after structural relaxation.

```
data_Na2CuTc
_chemical_formula_sum 'Na4 Cu2 Tc2'
_symmetry_space_group_name_H-M 'P 1'
_symmetry_Int_Tables_number 1
_cell_length_a 8.047
_cell_length_b 8.047
_cell_length_c 6.262
_cell_angle_alpha 50.02
_cell_angle_beta 50.02
_cell_angle_gamma 90.00
loop_
_symmetry_equiv_pos_as_xyz
'x,y,z'
loop_
_atom_site_label
_atom_site_type_symbol
_atom_site_fract_x
_atom_site_fract_y
_atom_site_fract_z
Na1 Na 0.589 0.125 0.250
Na2 Na 0.161 0.625 0.250
Na3 Na 0.375 0.411 0.750
Na4 Na 0.875 0.839 0.750
Tc1 Tc 0.000 0.000 0.000
Tc2 Tc 0.750 0.250 0.500
Cu1 Cu 0.500 0.500 0.000
Cu2 Cu 0.250 0.750 0.500
```

Results
Its total magnetization is 6.44 μB per cell. The value obtained for the mass density is 4.070 g/cm3. The calculation puts the energy of formation from the pure elements at 1.12 eV per atom.



# 8
The following is a DFT calculation (GGA-PBE) of Ac2Nd7Ho after structural relaxation.

```
data_Ac2Nd7Ho
_chemical_formula_sum 'Ac2 Nd7 Ho1'
_symmetry_space_group_name_H-M 'P 1'
_symmetry_Int_Tables_number 1
_cell_length_a 3.634
_cell_length_b 10.718
_cell_length_c 10.718
_cell_angle_alpha 109.49
_cell_angle_beta 90.00
_cell_angle_gamma 90.00
loop_
_symmetry_equiv_pos_as_xyz
'x,y,z'
loop_
_atom_site_label
_atom_site_type_symbol
_atom_site_fract_x
_atom_site_fract_y
_atom_site_fract_z
Ac1 Ac 0.500 0.826 0.174
Ac2 Ac 0.500 0.174 0.826
Nd1 Nd 0.000 0.663 0.337
Nd2 Nd 0.000 0.337 0.663
Nd3 Nd 0.500 0.142 0.375
Nd4 Nd 0.500 0.858 0.625
Nd5 Nd 0.500 0.375 0.142
Nd6 Nd 0.500 0.625 0.858
Nd7 Nd 0.500 0.500 0.500
Ho1 Ho 0.000 0.000 0.000
```

Results
Its total magnetization is 0.00 μB per cell. The value obtained for the mass density is 6.871 g/cm3. The calculation puts the energy of formation from the pure elements at 0.43 eV per atom.



# 9
The following is a DFT calculation (GGA-PBE) of Pr8Ge3Te4S after structural relaxation.

```
data_Pr8Ge3Te4S
_chemical_formula_sum 'Pr8 Ge3 Te4 S1'
_symmetry_space_group_name_H-M 'P 1'
_symmetry_Int_Tables_number 1
_cell_length_a 8.763
_cell_length_b 8.926
_cell_length_c 8.763
_cell_angle_alpha 119.40
_cell_angle_beta 120.00
_cell_angle_gamma 90.00
loop_
_symmetry_equiv_pos_as_xyz
'x,y,z'
loop_
_atom_site_label
_atom_site_type_symbol
_atom_site_fract_x
_atom_site_fract_y
_atom_site_fract_z
Pr1 Pr 0.242 0.722 0.981
Pr2 Pr 0.242 0.722 0.483
Pr3 Pr 0.258 0.273 0.516
Pr4 Pr 0.739 0.722 0.981
Pr5 Pr 0.261 0.278 0.019
Pr6 Pr 0.742 0.727 0.484
Pr7 Pr 0.758 0.278 0.517
Pr8 Pr 0.758 0.278 0.019
Ge1 Ge 0.500 0.500 0.000
Ge2 Ge 0.500 0.500 0.500
Ge3 Ge 0.000 0.500 0.500
Te1 Te 0.500 0.000 0.000
Te2 Te 0.500 0.000 0.500
Te3 Te 0.000 0.000 0.000
Te4 Te 0.000 0.000 0.500
S1 S 0.000 0.500 0.000
```

Results
Its total magnetization is 0.00 μB per cell. The value obtained for the mass density is 6.409 g/cm3. As for the formation energy without anion corrections: -1.372 eV per atom.



# 10
The following is a DFT calculation (GGA-PBE) of Zr4PtRh7 after structural relaxation.

```
data_Zr4PtRh7
_chemical_formula_sum 'Zr4 Pt1 Rh7'
_symmetry_space_group_name_H-M 'P 1'
_symmetry_Int_Tables_number 1
_cell_length_a 4.951
_cell_length_b 8.798
_cell_length_c 5.815
_cell_angle_alpha 83.26
_cell_angle_beta 82.48
_cell_angle_gamma 58.65
loop_
_symmetry_equiv_pos_as_xyz
'x,y,z'
loop_
_atom_site_label
_atom_site_type_symbol
_atom_site_fract_x
_atom_site_fract_y
_atom_site_fract_z
Zr1 Zr 0.653 0.185 0.608
Zr2 Zr 0.347 0.815 0.392
Zr3 Zr 0.620 0.645 0.897
Zr4 Zr 0.380 0.355 0.103
Pt1 Pt 0.000 0.000 0.000
Rh1 Rh 0.774 0.850 0.592
Rh2 Rh 0.226 0.150 0.408
Rh3 Rh 0.007 0.697 0.170
Rh4 Rh 0.993 0.303 0.830
Rh5 Rh 0.286 0.538 0.693
Rh6 Rh 0.500 0.000 0.000
Rh7 Rh 0.714 0.462 0.307
```

Results
Its total magnetization is 0.13 μB per cell. The value obtained for the mass density is 9.932 g/cm3. The calculation puts the energy of formation from the pure elements at -0.43 eV per atom.



# 11
The following is a DFT calculation (GGA-PBE) of CeNdOs4 after structural relaxation.

```
data_CeNdOs4
_chemical_formula_sum 'Ce1 Nd1 Os4'
_symmetry_space_group_name_H-M 'P 1'
_symmetry_Int_Tables_number 1
_cell_length_a 5.422
_cell_length_b 5.422
_cell_length_c 5.422
_cell_angle_alpha 60.00
_cell_angle_beta 60.00
_cell_angle_gamma 60.00
loop_
_symmetry_equiv_pos_as_xyz
'x,y,z'
loop_
_atom_site_label
_atom_site_type_symbol
_atom_site_fract_x
_atom_site_fract_y
_atom_site_fract_z
Nd1 Nd 0.250 0.250 0.250
Os1 Os 0.625 0.625 0.125
Os2 Os 0.625 0.125 0.625
Os3 Os 0.625 0.625 0.625
Os4 Os 0.125 0.625 0.625
Ce1 Ce 0.000 0.000 0.000
```

Results
Its total magnetization is 0.00 μB per cell. The value obtained for the mass density is 15.400 g/cm3. The calculation puts the energy of formation from the pure elements at -0.16 eV per atom.



# 12
The following is a DFT calculation (GGA-PBE) of Ac2Ga6RuRh after structural relaxation.

```
data_Ac2Ga6RuRh
_chemical_formula_sum 'Ac2 Ga6 Ru1 Rh1'
_symmetry_space_group_name_H-M 'P 1'
_symmetry_Int_Tables_number 1
_cell_length_a 7.027
_cell_length_b 6.533
_cell_length_c 7.036
_cell_angle_alpha 62.27
_cell_angle_beta 55.38
_cell_angle_gamma 90.04
loop_
_symmetry_equiv_pos_as_xyz
'x,y,z'
loop_
_atom_site_label
_atom_site_type_symbol
_atom_site_fract_x
_atom_site_fract_y
_atom_site_fract_z
Ac1 Ac 0.714 0.286 0.426
Ac2 Ac 0.286 0.714 0.574
Ga1 Ga 0.172 0.249 0.505
Ga2 Ga 0.751 0.828 0.926
Ga3 Ga 0.248 0.752 0.075
Ga4 Ga 0.752 0.248 0.925
Ga5 Ga 0.249 0.172 0.074
Ga6 Ga 0.828 0.751 0.495
Ru1 Ru 0.000 0.000 0.000
Rh1 Rh 0.500 0.500 0.000
```

Results
Its total magnetization is 0.00 μB per cell. The value obtained for the mass density is 8.155 g/cm3. The calculation puts the energy of formation from the pure elements at -0.52 eV per atom.